1.
AsSCl2 | Alexandria via LeMat-Bulk | GGA-PBE | relaxed; ρ = 2.75 Mg/m³; Fermi-level density of states = 0.7818 states/eV per atom
1.0
-2.0538 8.8391 2.8175
-8.7124 -2.8292 2.5248
-4.5837 2.4939 4.8571
As S Cl
2 2 4
Direct
0.0000 0.0000 0.0000
0.7500 0.2500 0.5000
0.5000 0.5000 0.0000
0.2500 0.7500 0.5000
0.7836 0.1250 0.2500
0.9664 0.6250 0.2500
0.3750 0.2164 0.7500
0.8750 0.0336 0.7500

2.
AsSCl2 | Alexandria via LeMat-Bulk | GGA-PBE | relaxed; ρ = 3.44 Mg/m³; Fermi-level density of states = 0.6833 states/eV per atom
1.0
-6.3225 7.5829 -0.8117
-5.6374 7.8148 2.2981
-3.7244 9.1784 0.1360
As S Cl
1 1 2
Direct
0.0000 0.0000 0.0000
0.5000 0.5000 0.5000
0.9208 0.9208 0.9208
0.0792 0.0792 0.0792

3.
AsSCl2 | Alexandria via LeMat-Bulk | GGA-PBE | relaxed; ρ = 3.59 Mg/m³; Fermi-level density of states = 0.6228 states/eV per atom
1.0
6.4412 -1.6803 6.4819
7.6161 -3.4521 4.0502
8.2757 -0.2944 4.2133
As S Cl
1 1 2
Direct
0.5000 0.5000 0.5000
0.0000 0.0000 0.0000
0.9169 0.9169 0.9169
0.0831 0.0831 0.0831

4.
AsSCl2 | Alexandria via LeMat-Bulk | GGA-PBE | relaxed; ρ = 3.81 Mg/m³; Fermi-level density of states = 0.3639 states/eV per atom
1.0
0.0000 3.3850 3.3850
3.3850 0.0000 3.3850
3.3850 3.3850 0.0000
As S Cl
1 1 2
Direct
0.5000 0.5000 0.5000
0.0000 0.0000 0.0000
0.2500 0.2500 0.2500
0.7500 0.7500 0.7500

Which one is the most stable? From the structures above, 1.